# Na2PdAu, relaxed, DFT PBE
data_Na2PdAu
_cell_length_a 4.112
_cell_length_b 4.112
_cell_length_c 4.513
_cell_angle_alpha 90.00
_cell_angle_beta 90.00
_cell_angle_gamma 90.00
_space_group_name_H-M_alt 'P 4/m m m'
_space_group_IT_number 123
_space_group_name_Hall '-P 4 2'
loop_
_atom_site_label
_atom_site_fract_x
_atom_site_fract_y
_atom_site_fract_z
Na1 0.000 0.500 0.000
Pd1 0.000 0.000 0.500
Au1 0.500 0.500 0.500
# E_tot (eV/cell): -11.9
# ρ (g cm⁻³): 7.601
# Formation energy (eV per atom): -0.1923


# Na6PdAu, relaxed, DFT PBE
data_Na6PdAu
_cell_length_a 6.717
_cell_length_b 6.721
_cell_length_c 7.771
_cell_angle_alpha 90.01
_cell_angle_beta 115.57
_cell_angle_gamma 119.86
_space_group_name_H-M_alt 'P -1'
_space_group_IT_number 2
loop_
_space_group_symop_operation_xyz
'x,y,z'
'-x,-y,-z'
loop_
_atom_site_label
_atom_site_fract_x
_atom_site_fract_y
_atom_site_fract_z
Na1 0.009 0.437 0.254
Na2 0.316 0.071 0.255
Na3 0.318 0.257 0.746
Pd1 0.500 0.500 0.500
Au1 0.500 0.000 0.000
# E_tot (eV/cell): -16.5
# ρ (g cm⁻³): 2.777
# Energy above the most stable polymorph in this dataset (meV/atom): 0.0
# Formation energy (eV per atom): -0.0138


- Look up the ρ of the second one.
  2.777 g cm⁻³


- Among the records above, which one has the highest E_tot?
  Na2PdAu